The following is a DFT calculation (PBE-GGA) of a geometry-optimized Pm4SmTl2 structure.

Cell: 6.001 6.001 12.709 Å, 90.00 90.00 90.00°
Space group I4/mmm (No. 139)
Asymmetric unit:
Pm (0.000, 0.500, 0.000)
Pm (0.000, 0.500, 0.250)
Sm (0.000, 0.000, 0.000)
Tl (0.000, 0.000, 0.368)

Computed properties:
ρ   8.26 g/cm³
DFT formation energy   14.0 kJ/mol of atoms